First-principles (PBE-GGA) data for Dy5Y12Sc after structural relaxation, as listed in Alexandria via LeMat-Bulk.

The energy comes out at -213.50 eV for the cell shown. For the formation energy, the calculation gives 0.01 eV/atom.

The space group is C2/m (No. 12) and the conventional cell measures 6.204, 10.755 and 17.204 Å, with angles of 90.00, 96.78 and 90.00 degrees. The asymmetric unit holds Dy at (0.000, 0.000, 0.000), Dy at (0.000, 0.167, 0.500), Dy at (0.000, 0.333, 0.000), Y at (0.110, 0.167, 0.832), Y at (0.110, 0.335, 0.335), Y at (0.110, 0.500, 0.833), Y at (0.116, 0.000, 0.335) and Sc at (0.000, 0.500, 0.500).